The following is a DFT calculation (GGA+U) of crystalline Li3PrMo4O12 at its relaxed geometry.

abc: 6.6789 6.6789 6.6789
angles: 109.47 109.47 109.47
Each line ends with the local moment (μB).
Positions (direct):
1 Li 0.0000 0.5000 0.5000  0.00
2 Li 0.5000 0.5000 0.0000  0.00
3 Li 0.5000 0.0000 0.5000  0.00
4 Pr 0.0000 0.0000 0.0000  0.03
5 Mo 0.5000 0.0000 0.0000  1.58
6 Mo 0.5000 0.5000 0.5000  1.58
7 Mo 0.0000 0.5000 0.0000  1.58
8 Mo 0.0000 0.0000 0.5000  1.58
9 O 0.2927 0.8197 0.1125  -0.04
10 O 0.7073 0.1803 0.8875  -0.04
11 O 0.7073 0.8197 0.5270  -0.04
12 O 0.8875 0.7073 0.1803  -0.04
13 O 0.8197 0.1125 0.2927  -0.04
14 O 0.1803 0.4730 0.2927  -0.04
15 O 0.4730 0.2927 0.1803  -0.04
16 O 0.1803 0.8875 0.7073  -0.04
17 O 0.2927 0.1803 0.4730  -0.04
18 O 0.1125 0.2927 0.8197  -0.04
19 O 0.8197 0.5270 0.7073  -0.04
20 O 0.5270 0.7073 0.8197  -0.04

energy: -6.865 eV/atom
ρ: 5.3 g/cm³